The following is a PBE calculation of a relaxed LaReAg2 crystal, from Alexandria.

Properties
ΔE to the lowest computed polymorph = 0.27 eV per formula unit
Total moment = 0.02 μB per atom
Mass density = 11.1 g/cm³
D(E_F) = 2.72 states/eV/f.u.
Space group = Pm, No. 6
V = 81 Å³ per cell

Unit cell a=2.829 b=4.769 c=6.161 alpha=90.00 beta=103.12 gamma=90.00
Positions (direct):
La1 0.000 0.000 0.000
Re1 0.650 0.500 0.293
Ag1 0.251 0.000 0.488
Ag2 0.364 0.500 0.725

=====

The following is a PBE calculation of a relaxed LaReAg2 crystal, from Alexandria.

Properties
ΔE to the lowest computed polymorph = 0.47 eV per formula unit
Total moment = 0.01 μB per atom
Mass density = 11.3 g/cm³
D(E_F) = 4.38 states/eV/f.u.
Space group = Cmmm, No. 65
V = 79 Å³ per cell

Unit cell a=5.369 b=5.369 c=3.010 alpha=90.00 beta=90.00 gamma=113.91
Positions (direct):
La1 0.000 0.000 0.000
Re1 0.500 0.500 0.000
Ag1 0.000 0.500 0.500
Ag2 0.500 0.000 0.500

=====

The following is a PBE calculation of a relaxed LaRe2Ag crystal, from Alexandria.

Properties
ΔE to the lowest computed polymorph = 3.69 eV per formula unit
Total moment = 0.00 μB per atom
Mass density = 13.8 g/cm³
D(E_F) = 7.67 states/eV/f.u.
Space group = Fm-3m, No. 225
V = 75 Å³ per cell

Unit cell a=4.723 b=4.723 c=4.723 alpha=60.00 beta=60.00 gamma=60.00
Positions (direct):
La1 0.000 0.000 0.000
Re1 0.250 0.250 0.250
Re2 0.750 0.750 0.750
Ag1 0.500 0.500 0.500

=====

The following is a PBE calculation of a relaxed LaRe2Ag crystal, from Alexandria.

Properties
ΔE to the lowest computed polymorph = 0.00 eV per formula unit
Total moment = 0.00 μB per atom
Mass density = 13.0 g/cm³
D(E_F) = 2.78 states/eV/f.u.
Space group = P4mm, No. 99
V = 79 Å³ per cell

Unit cell a=3.131 b=3.131 c=8.066 alpha=90.00 beta=90.00 gamma=90.00
Positions (direct):
La1 0.000 0.000 0.000
Re1 0.000 0.000 0.452
Re2 0.500 0.500 0.287
Ag1 0.500 0.500 0.691

=====

The following is a PBE calculation of a relaxed LaReAg2 crystal, from Alexandria.

Properties
ΔE to the lowest computed polymorph = 0.48 eV per formula unit
Total moment = 0.00 μB per atom
Mass density = 11.0 g/cm³
D(E_F) = 3.17 states/eV/f.u.
Space group = Cm, No. 8
V = 81 Å³ per cell

Unit cell a=5.211 b=5.211 c=5.645 alpha=97.55 beta=97.55 gamma=32.36
Positions (direct):
La1 0.000 0.000 0.000
Re1 0.754 0.754 0.259
Ag1 0.239 0.239 0.702
Ag2 0.494 0.494 0.487

=====

The following is a PBE calculation of a relaxed LaReAg2 crystal, from Alexandria.

Properties
ΔE to the lowest computed polymorph = 0.34 eV per formula unit
Total moment = 0.00 μB per atom
Mass density = 11.3 g/cm³
D(E_F) = 2.47 states/eV/f.u.
Space group = Cmm2, No. 35
V = 79 Å³ per cell

Unit cell a=2.932 b=2.932 c=10.020 alpha=90.00 beta=90.00 gamma=112.82
Positions (direct):
La1 0.000 0.000 0.000
Re1 0.500 0.500 0.759
Ag1 0.000 0.000 0.528
Ag2 0.500 0.500 0.292

=====

The following is a PBE calculation of a relaxed LaRe2Ag crystal, from Alexandria.

Properties
ΔE to the lowest computed polymorph = 1.22 eV per formula unit
Total moment = 0.00 μB per atom
Mass density = 11.1 g/cm³
D(E_F) = 2.09 states/eV/f.u.
Space group = C2/m, No. 12
V = 93 Å³ per cell

Unit cell a=5.238 b=5.238 c=5.264 alpha=109.78 beta=109.78 gamma=43.62
Positions (direct):
La1 0.000 0.000 0.000
Re1 0.229 0.229 0.614
Re2 0.771 0.771 0.386
Ag1 0.500 0.500 0.500

=====

The following is a PBE calculation of a relaxed LaReAg2 crystal, from Alexandria.

Properties
ΔE to the lowest computed polymorph = 0.00 eV per formula unit
Total moment = 0.00 μB per atom
Mass density = 10.8 g/cm³
D(E_F) = 4.35 states/eV/f.u.
Space group = Immm, No. 71
V = 83 Å³ per cell

Unit cell a=6.097 b=6.097 c=6.097 alpha=149.12 beta=133.90 gamma=56.52
Positions (direct):
La1 0.000 0.000 0.000
Re1 0.500 0.500 0.000
Ag1 0.280 0.780 0.500
Ag2 0.720 0.220 0.500

=====

Question: The lowest D(E_F) belongs to which entry?
Answer: number 7

=====

Question: mass density of number 5 (LaReAg2)?
Answer: 11.0 g/cm³